First-principles (PBE) data for crystalline Sn2Pd2I at its relaxed geometry, as listed in Alexandria via LeMat-Bulk.

- calculated total energy (eV/atom) = -4.207
- E above lowest polymorph (eV per atom) = 0.000
- raw formation energy (eV per atom) = -0.2185
- space group = I4/mmm (139)
- total moment (Bohr magnetons per cell) = 0.00
- calculated volume (Å³/atom) = 25.8

a b c (Å): 8.744 8.744 8.744
angles (deg): 153.93 153.93 37.20
Fractional positions:
Sn  0.135  0.135  0.000
Sn  0.865  0.865  0.000
Pd  0.250  0.750  0.500
Pd  0.750  0.250  0.500
I  0.500  0.500  0.000